Record 1
A plane-wave DFT calculation with PBE-GGA was carried out for a geometry-optimized K2YTa structure.

Cell lengths 5.461, 5.461, 9.837 Å; angles 87.84, 87.84, 33.42 degrees
Last column: magnetic moment on the atom in μB.
Positions (direct):
Y  0.235  0.235  0.332  -0.01
Ta  0.509  0.509  0.420  0.18
K  0.998  0.998  0.059  0.00
K  0.758  0.758  0.689  0.00

Results
The magnetization is 0.31 Bohr magnetons per cell. As for the formation enthalpy at 0 K: 93.9 kJ/mol of atoms. The density of states at the Fermi level is 1.26 states/eV/atom.

=====

Record 2
A plane-wave DFT calculation with PBE-GGA was carried out for a geometry-optimized TiCdN2 structure.

Cell lengths 4.953, 4.953, 5.819 Å; angles 64.81, 64.81, 90.00 degrees
Positions (direct):
Cd  0.000  0.000  0.000
Cd  0.750  0.250  0.500
Ti  0.250  0.750  0.500
Ti  0.500  0.500  0.000
N  0.564  0.125  0.250
N  0.186  0.625  0.250
N  0.875  0.814  0.750
N  0.375  0.436  0.750

Results
The magnetization is 0.00 Bohr magnetons per cell. The calculation puts the raw formation energy at -254 kJ/mol of formula units. The density of states at the Fermi level is 0.00 states/eV/atom.

=====

Record 3
A plane-wave DFT calculation with PBE-GGA was carried out for a geometry-optimized Na2UI6 structure.

Cell lengths 7.576, 7.576, 13.906 Å; angles 90.00, 90.00, 90.00 degrees
Last column: magnetic moment on the atom in μB.
Positions (direct):
Na  0.500  0.500  0.335  0.00
Na  0.000  0.000  0.165  0.00
Na  0.500  0.500  0.665  0.00
Na  0.000  0.000  0.835  0.00
I  0.216  0.784  0.000  -0.03
I  0.806  0.194  0.657  -0.04
I  0.716  0.716  0.500  -0.03
I  0.194  0.806  0.343  -0.04
I  0.306  0.306  0.843  -0.04
I  0.784  0.216  0.000  -0.03
I  0.806  0.194  0.343  -0.04
I  0.694  0.694  0.843  -0.04
I  0.306  0.306  0.157  -0.04
I  0.284  0.284  0.500  -0.03
I  0.694  0.694  0.157  -0.04
I  0.194  0.806  0.657  -0.04
U  0.000  0.000  0.500  2.17
U  0.500  0.500  0.000  2.17

Results
The magnetization is 4.00 Bohr magnetons per cell. The calculation puts the raw formation energy at -867 kJ/mol of formula units. The density of states at the Fermi level is 0.48 states/eV/atom.

=====

Record 4
A plane-wave DFT calculation with PBE-GGA was carried out for a geometry-optimized TmPa3 structure.

Cell lengths 3.175, 5.826, 6.423 Å; angles 116.97, 104.31, 90.00 degrees
Positions (direct):
Tm  0.000  0.043  0.000
Pa  0.743  0.036  0.485
Pa  0.257  0.551  0.515
Pa  0.500  0.536  0.000

Results
The magnetization is 0.00 Bohr magnetons per cell. As for the formation enthalpy at 0 K: 14.2 kJ/mol of atoms. The density of states at the Fermi level is 2.11 states/eV/atom.

=====

Record 5
A plane-wave DFT calculation with PBE-GGA was carried out for a geometry-optimized Ni2WCl structure.

Cell lengths 2.763, 4.380, 4.448 Å; angles 90.00, 90.00, 90.00 degrees
Last column: magnetic moment on the atom in μB.
Positions (direct):
Ni  0.000  0.000  0.000  0.05
Ni  0.500  0.500  0.000  0.18
W  0.500  0.000  0.500  0.03
Cl  0.000  0.500  0.500  0.01

Results
The magnetization is 0.28 Bohr magnetons per cell. The calculation puts the raw formation energy at 286 kJ/mol of formula units. The density of states at the Fermi level is 1.43 states/eV/atom.

=====

Record 6
A plane-wave DFT calculation with PBE-GGA was carried out for a geometry-optimized Pm2PrCu structure.

Cell lengths 3.695, 3.695, 10.427 Å; angles 79.80, 79.80, 60.00 degrees
Positions (direct):
Pm  0.266  0.266  0.201
Pm  0.734  0.734  0.799
Pr  0.500  0.500  0.500
Cu  0.000  0.000  0.000

Results
The magnetization is 0.00 Bohr magnetons per cell. As for the formation enthalpy at 0 K: 4.8 kJ/mol of atoms. The density of states at the Fermi level is 1.23 states/eV/atom.